# 1
# GGA-PBE LaNbH, relaxed
# V = 18.03 Å³ per atom
# Fermi-level density of states = 1.038 states/eV per atom
# E = -17.88 eV per formula unit
data_LaNbH
_chemical_formula_sum 'La1 Nb1 H1'
_symmetry_space_group_name_H-M 'P 1 2/m 1'
_symmetry_Int_Tables_number 10
_symmetry_space_group_name_Hall '-P 2y'
_cell_length_a 3.9105
_cell_length_b 3.5437
_cell_length_c 3.9677
_cell_angle_alpha 90.00
_cell_angle_beta 100.36
_cell_angle_gamma 90.00
loop_
_atom_site_label
_atom_site_type_symbol
_atom_site_fract_x
_atom_site_fract_y
_atom_site_fract_z
_atom_site_occupancy
La1 La 0.0000 0.0000 0.0000 1
Nb1 Nb 0.5000 0.5000 0.5000 1
H1 H 0.5000 0.5000 0.0000 1

***

# 2
# GGA-PBE La6PmAg2, relaxed
# V = 32.56 Å³ per atom
# Fermi-level density of states = 1.491 states/eV per atom
# E = -40.97 eV per formula unit
# formation enthalpy at 0 K = -106 meV per atom
data_La6PmAg2
_chemical_formula_sum 'La12 Pm2 Ag4'
_symmetry_space_group_name_H-M 'C 1 2/m 1'
_symmetry_Int_Tables_number 12
_symmetry_space_group_name_Hall '-C 2y'
_cell_length_a 13.0723
_cell_length_b 3.8179
_cell_length_c 12.3302
_cell_angle_alpha 90.00
_cell_angle_beta 107.75
_cell_angle_gamma 90.00
loop_
_atom_site_label
_atom_site_type_symbol
_atom_site_fract_x
_atom_site_fract_y
_atom_site_fract_z
_atom_site_occupancy
La1 La 0.0276 0.0000 0.3320 1
La2 La 0.1835 0.5000 0.8768 1
La3 La 0.1884 0.5000 0.5919 1
Pm1 Pm 0.0000 0.0000 0.0000 1
Ag1 Ag 0.1434 0.5000 0.1906 1

***

# 3
# GGA-PBE Bi12Pd7Au, relaxed
# V = 25.07 Å³ per atom
# Fermi-level density of states = 0.483 states/eV per atom
# E = -89.13 eV per formula unit
# formation enthalpy at 0 K = -147 meV per atom
data_Bi12Pd7Au
_chemical_formula_sum 'Bi36 Pd21 Au3'
_symmetry_space_group_name_H-M 'R -3'
_symmetry_Int_Tables_number 148
_symmetry_space_group_name_Hall '-R 3'
_cell_length_a 14.3858
_cell_length_b 14.3858
_cell_length_c 8.3937
_cell_angle_alpha 90.00
_cell_angle_beta 90.00
_cell_angle_gamma 120.00
loop_
_atom_site_label
_atom_site_type_symbol
_atom_site_fract_x
_atom_site_fract_y
_atom_site_fract_z
_atom_site_occupancy
Bi1 Bi 0.0439 0.8254 0.3977 1
Bi2 Bi 0.0582 0.2553 0.9777 1
Pd1 Pd 0.0000 0.0000 0.5000 1
Pd2 Pd 0.0311 0.8743 0.7465 1
Au1 Au 0.0000 0.0000 0.0000 1

***

# 4
# GGA-PBE Dy3Cu2Rh7, relaxed
# V = 17.15 Å³ per atom
# Fermi-level density of states = 0.614 states/eV per atom
# E = -80.17 eV per formula unit
# formation enthalpy at 0 K = -559 meV per atom
data_Dy3Cu2Rh7
_chemical_formula_sum 'Dy9 Cu6 Rh21'
_symmetry_space_group_name_H-M 'R -3 m'
_symmetry_Int_Tables_number 166
_symmetry_space_group_name_Hall '-R 3 2"'
_cell_length_a 5.2976
_cell_length_b 5.2976
_cell_length_c 25.4004
_cell_angle_alpha 90.00
_cell_angle_beta 90.00
_cell_angle_gamma 120.00
loop_
_atom_site_label
_atom_site_type_symbol
_atom_site_fract_x
_atom_site_fract_y
_atom_site_fract_z
_atom_site_occupancy
Dy1 Dy 0.0000 0.0000 0.0000 1
Dy2 Dy 0.0000 0.0000 0.1403 1
Cu1 Cu 0.0000 0.0000 0.3339 1
Rh1 Rh 0.0000 0.0000 0.5000 1
Rh2 Rh 0.0038 0.5019 0.9176 1

***

Q: The lowest V belongs to which entry?
A: Dy3Cu2Rh7

***

Q: Which value of Fermi-level density of states does entry 2 give?
A: 1.491 states/eV per atom